A relaxed LiMgIn2 crystal, computed with GGA-PBEsol.

Output
calculated volume	87.0	Å³/cell
space-group type	P4mm (99)

a b c (Å): 3.815 3.815 5.977
angles (deg): 90.00 90.00 90.00
Atoms (fractional coordinates):
In 0.500 0.500 0.262
In 0.000 0.000 0.995
Li 0.000 0.000 0.492
Mg 0.500 0.500 0.752



A relaxed LiMgIn2 crystal, computed with GGA-PBEsol.

Output
calculated volume	86.0	Å³/cell
space-group type	Cm (8)

a b c (Å): 3.148 5.285 5.453
angles (deg): 97.81 106.78 90.00
Atoms (fractional coordinates):
Li 0.502 0.512 0.004
Mg 0.751 0.242 0.503
In 0.246 0.730 0.493
In 0.000 0.016 0.001



A relaxed LiMg2In crystal, computed with GGA-PBEsol.

Output
calculated volume	84.4	Å³/cell
space-group type	P2/m (10)

a b c (Å): 3.114 4.934 5.525
angles (deg): 90.00 96.15 90.00
Atoms (fractional coordinates):
Mg 0.755 0.000 0.745
Mg 0.245 0.000 0.255
Li 0.000 0.500 0.500
In 0.500 0.500 0.000



A relaxed LiMgIn2 crystal, computed with GGA-PBEsol.

Output
calculated volume	86.0	Å³/cell
space-group type	Pmm2 (25)

a b c (Å): 3.323 4.291 6.033
angles (deg): 90.00 90.00 90.00
Atoms (fractional coordinates):
In 0.500 0.500 0.265
In 0.000 0.000 0.991
Li 0.000 0.000 0.491
Mg 0.500 0.500 0.753



A relaxed LiMgIn2 crystal, computed with GGA-PBEsol.

Output
calculated volume	84.0	Å³/cell
space-group type	Cmmm (65)

a b c (Å): 3.114 5.339 5.339
angles (deg): 108.76 90.00 90.00
Atoms (fractional coordinates):
Mg 0.500 0.500 0.500
In 0.000 0.500 0.000
In 0.000 0.000 0.500
Li 0.500 0.000 0.000



A relaxed LiMg2In crystal, computed with GGA-PBEsol.

Output
calculated volume	84.7	Å³/cell
space-group type	C2/m (12)

a b c (Å): 3.094 5.506 5.841
angles (deg): 116.45 102.64 95.62
Atoms (fractional coordinates):
In 0.500 0.000 0.000
Mg 0.000 0.000 0.500
Mg 0.500 0.500 0.500
Li 0.000 0.500 0.000



A relaxed LiMgIn2 crystal, computed with GGA-PBEsol.

Output
calculated volume	83.9	Å³/cell
space-group type	I4/mmm (139)

a b c (Å): 4.430 4.430 5.299
angles (deg): 114.71 114.71 90.00
Atoms (fractional coordinates):
In 0.750 0.250 0.500
In 0.250 0.750 0.500
Mg 0.500 0.500 0.000
Li 0.000 0.000 0.000



A relaxed LiMgIn2 crystal, computed with GGA-PBEsol.

Output
calculated volume	85.1	Å³/cell
space-group type	I-4m2 (119)

a b c (Å): 4.399 4.399 5.386
angles (deg): 114.10 114.10 90.00
Atoms (fractional coordinates):
In 0.000 0.000 0.000
In 0.750 0.250 0.500
Li 0.500 0.500 0.000
Mg 0.250 0.750 0.500



A relaxed LiMg2In crystal, computed with GGA-PBEsol.

Output
calculated volume	82.7	Å³/cell
space-group type	I-4m2 (119)

a b c (Å): 4.336 4.336 5.363
angles (deg): 113.84 113.84 90.00
Atoms (fractional coordinates):
Mg 0.750 0.250 0.500
Mg 0.000 0.000 0.000
Li 0.250 0.750 0.500
In 0.500 0.500 0.000



A relaxed LiMgIn2 crystal, computed with GGA-PBEsol.

Output
calculated volume	83.8	Å³/cell
space-group type	Pmmm (47)

a b c (Å): 3.090 4.305 6.300
angles (deg): 90.00 90.00 90.00
Atoms (fractional coordinates):
In 0.000 0.000 0.242
In 0.000 0.000 0.758
Mg 0.500 0.500 0.500
Li 0.500 0.500 0.000



A relaxed LiMgIn2 crystal, computed with GGA-PBEsol.

Output
calculated volume	83.9	Å³/cell
space-group type	P4/mmm (123)

a b c (Å): 4.339 4.396 4.396
angles (deg): 90.00 90.00 90.00
Atoms (fractional coordinates):
In 0.000 0.500 0.000
In 0.000 0.000 0.500
Mg 0.500 0.000 0.000
Li 0.500 0.500 0.500



A relaxed LiMgIn2 crystal, computed with GGA-PBEsol.

Output
calculated volume	86.9	Å³/cell
space-group type	R-3m (166)

a b c (Å): 3.248 3.248 9.694
angles (deg): 80.36 80.36 60.00
Atoms (fractional coordinates):
In 0.753 0.753 0.740
In 0.247 0.247 0.260
Mg 0.000 0.000 0.000
Li 0.500 0.500 0.500



no.,calculated formation energy (eV/atom)
1,-0.157
2,-0.170
3,-0.115
4,-0.162
5,-0.213
6,-0.111
7,-0.221
8,-0.193
9,-0.157
10,-0.218
11,-0.220
12,-0.162